DFT (PBE) results for a relaxed Sb2MoBr crystal.

a = 7.0392 Å, b = 7.0392 Å, c = 7.0392 Å
α = 90.00°, β = 90.00°, γ = 90.00°
Atoms (fractional coordinates):
Sb: 0.0000 0.0000 0.0000
Sb: 0.0000 0.5000 0.5000
Sb: 0.2500 0.2500 0.2500
Sb: 0.2500 0.7500 0.7500
Sb: 0.5000 0.0000 0.5000
Sb: 0.5000 0.5000 0.0000
Sb: 0.7500 0.2500 0.7500
Sb: 0.7500 0.7500 0.2500
Mo: 0.0000 0.0000 0.5000
Mo: 0.0000 0.5000 0.0000
Mo: 0.5000 0.0000 0.0000
Mo: 0.5000 0.5000 0.5000
Br: 0.2500 0.2500 0.7500
Br: 0.2500 0.7500 0.2500
Br: 0.7500 0.2500 0.2500
Br: 0.7500 0.7500 0.7500

Output
The energy above the lowest structure with this stoichiometry comes out at 0.5780 eV per atom. The calculation puts the density at 7.99 g/cm3. As for the total energy: -4.533 eV/atom.